No. 1
Here is an optimized crystal structure of KBeAl2 from the Alexandria database. Energies are from PBE-GGA.

Cell: 3.637 2.762 8.629 Å, 71.22 90.00 90.00°
Fractional coordinates of all 4 atoms:
Be1 0.500 0.250 0.250
K1 0.500 0.750 0.750
Al1 0.000 0.914 0.086
Al2 0.000 0.586 0.414

Properties
E_form	0.358	eV/atom

---

No. 2
Here is an optimized crystal structure of KBeAl2 from the Alexandria database. Energies are from PBE-GGA.

Cell: 6.022 6.022 2.717 Å, 90.00 90.00 120.90°
Fractional coordinates of all 4 atoms:
Be1 0.500 0.000 0.500
K1 0.000 0.500 0.500
Al1 0.000 0.000 0.000
Al2 0.500 0.500 0.000

Properties
E_form	0.789	eV/atom

---

No. 3
Here is an optimized crystal structure of KBeAl2 from the Alexandria database. Energies are from PBE-GGA.

Cell: 5.578 5.578 8.281 Å, 70.32 70.32 90.00°
Fractional coordinates of all 8 atoms:
Be1 0.500 0.500 0.000
Be2 0.250 0.750 0.500
K1 0.000 0.000 0.000
K2 0.750 0.250 0.500
Al1 0.375 0.125 0.250
Al2 0.375 0.625 0.250
Al3 0.375 0.625 0.750
Al4 0.875 0.625 0.750

Properties
E_form	0.501	eV/atom